! ZrCd, relaxed, DFT GGA-PBE; values from VASP
! Total moment in μB per formula unit: 0.8
! Energy relative to the elements in meV/atom: 1015
! Space group: I-43m
&SYSTEM
  ibrav = 0, nat = 16, ntyp = 2
/
ATOMIC_SPECIES
Zr 91.22 Zr.upf
Cd 112.41 Cd.upf
CELL_PARAMETERS angstrom
-8.6752 1.4252 2.5786
-1.8969 -8.8374 -1.4975
2.2543 -1.9518 8.6630
ATOMIC_POSITIONS crystal
Zr 0.1123 0.1123 0.1123
Zr 0.1123 0.8877 0.8877
Zr 0.8877 0.1123 0.8877
Zr 0.8877 0.8877 0.1123
Zr 0.6123 0.6123 0.6123
Zr 0.6123 0.3877 0.3877
Zr 0.3877 0.6123 0.3877
Zr 0.3877 0.3877 0.6123
Cd 0.3029 0.3029 0.3029
Cd 0.3029 0.6971 0.6971
Cd 0.6971 0.3029 0.6971
Cd 0.6971 0.6971 0.3029
Cd 0.8029 0.8029 0.8029
Cd 0.8029 0.1971 0.1971
Cd 0.1971 0.8029 0.1971
Cd 0.1971 0.1971 0.8029



! ZrCd3, relaxed, DFT GGA-PBE; values from VASP
! Total moment in μB per formula unit: 0.0
! Energy relative to the elements in meV/atom: -60
! Space group: P2/m
&SYSTEM
  ibrav = 0, nat = 4, ntyp = 2
/
ATOMIC_SPECIES
Zr 91.22 Zr.upf
Cd 112.41 Cd.upf
CELL_PARAMETERS angstrom
7.5193 0.0000 -0.0188
0.0000 4.7003 0.0000
-9.2779 0.0000 2.4893
ATOMIC_POSITIONS crystal
Zr 0.2500 0.5000 0.0000
Cd 0.1183 0.0000 0.1137
Cd 0.3817 0.0000 0.8863
Cd 0.7500 0.5000 0.0000



! Zr4Cd, relaxed, DFT GGA-PBE; values from VASP
! Total moment in μB per formula unit: 0.0
! Energy relative to the elements in meV/atom: 456
! Space group: I4/mmm
! Excess energy over the best structure of this formula in the dataset in kJ per mole of atoms: 49.7
&SYSTEM
  ibrav = 0, nat = 5, ntyp = 2
/
ATOMIC_SPECIES
Zr 91.22 Zr.upf
Cd 112.41 Cd.upf
CELL_PARAMETERS angstrom
-2.0644 2.0644 7.2047
2.0644 -2.0644 7.2047
2.0644 2.0644 -7.2047
ATOMIC_POSITIONS crystal
Zr 0.7500 0.2500 0.5000
Zr 0.4092 0.4092 0.0000
Zr 0.5908 0.5908 0.0000
Zr 0.2500 0.7500 0.5000
Cd 0.0000 0.0000 0.0000



! ZrCd, relaxed, DFT GGA-PBE; values from VASP
! Total moment in μB per formula unit: 0.0
! Energy relative to the elements in meV/atom: -79
! Space group: C2/m
&SYSTEM
  ibrav = 0, nat = 4, ntyp = 2
/
ATOMIC_SPECIES
Zr 91.22 Zr.upf
Cd 112.41 Cd.upf
CELL_PARAMETERS angstrom
-3.7663 0.9900 -3.6376
2.2208 -0.2824 -2.3762
-1.3008 -4.7139 -2.8982
ATOMIC_POSITIONS crystal
Zr 0.4658 0.4994 0.0011
Zr 0.6176 0.2506 0.4989
Cd 0.9716 0.0044 0.9911
Cd 0.1118 0.7456 0.5089



! Zr2Cd, relaxed, DFT GGA-PBE; values from VASP
! Total moment in μB per formula unit: 0.0
! Energy relative to the elements in meV/atom: -57
! Space group: C2/m
&SYSTEM
  ibrav = 0, nat = 6, ntyp = 2
/
ATOMIC_SPECIES
Cd 112.41 Cd.upf
Zr 91.22 Zr.upf
CELL_PARAMETERS angstrom
6.5116 0.1279 -0.2593
5.6201 3.2911 -0.2593
1.8619 0.5248 6.4463
ATOMIC_POSITIONS crystal
Cd 0.9733 0.9733 0.0628
Cd 0.6379 0.6379 0.2149
Zr 0.6394 0.6394 0.7260
Zr 0.3009 0.3009 0.3970
Zr 0.3102 0.3102 0.8808
Zr 0.9717 0.9717 0.5518



! ZrCd2, relaxed, DFT GGA-PBE; values from VASP
! Total moment in μB per formula unit: 0.0
! Energy relative to the elements in meV/atom: 142
! Space group: P4_12_12
&SYSTEM
  ibrav = 0, nat = 12, ntyp = 2
/
ATOMIC_SPECIES
Zr 91.22 Zr.upf
Cd 112.41 Cd.upf
CELL_PARAMETERS angstrom
5.7812 0.0000 0.0000
0.0000 5.7812 0.0000
0.0000 0.0000 8.2425
ATOMIC_POSITIONS crystal
Zr 0.1244 0.1244 0.5000
Zr 0.3756 0.6244 0.7500
Zr 0.6244 0.3756 0.2500
Zr 0.8756 0.8756 0.0000
Cd 0.6971 0.8728 0.3502
Cd 0.3029 0.1272 0.8502
Cd 0.8728 0.6971 0.6498
Cd 0.3728 0.8029 0.1002
Cd 0.1272 0.3029 0.1498
Cd 0.1971 0.6272 0.3998
Cd 0.8029 0.3728 0.8998
Cd 0.6272 0.1971 0.6002



! Zr3Cd, relaxed, DFT GGA-PBE; values from VASP
! Total moment in μB per formula unit: 0.0
! Energy relative to the elements in meV/atom: 144
! Space group: Pmm2
&SYSTEM
  ibrav = 0, nat = 4, ntyp = 2
/
ATOMIC_SPECIES
Zr 91.22 Zr.upf
Cd 112.41 Cd.upf
CELL_PARAMETERS angstrom
3.0761 0.0000 0.0000
0.0000 3.0225 0.0000
0.0000 0.0000 10.1091
ATOMIC_POSITIONS crystal
Zr 0.0000 0.5000 0.4701
Zr 0.5000 0.5000 0.1992
Zr 0.5000 0.0000 0.6952
Cd 0.0000 0.0000 0.9689



! Zr2Cd, relaxed, DFT GGA-PBE; values from VASP
! Total moment in μB per formula unit: 0.0
! Energy relative to the elements in meV/atom: 37
! Space group: P-62m
&SYSTEM
  ibrav = 0, nat = 9, ntyp = 2
/
ATOMIC_SPECIES
Zr 91.22 Zr.upf
Cd 112.41 Cd.upf
CELL_PARAMETERS angstrom
4.1916 -7.2601 0.0000
4.1916 7.2601 0.0000
0.0000 0.0000 3.3687
ATOMIC_POSITIONS crystal
Zr 0.0000 0.2900 0.0000
Zr 0.0000 0.6180 0.5000
Zr 0.2900 0.0000 0.0000
Zr 0.7100 0.7100 0.0000
Zr 0.6180 0.0000 0.5000
Zr 0.3820 0.3820 0.5000
Cd 0.0000 0.0000 0.5000
Cd 0.3333 0.6667 0.0000
Cd 0.6667 0.3333 0.0000



no.,volume (Å³/atom),raw total energy (eV per atom)
1,48.07,-3.716
2,21.79,-2.883
3,24.56,-6.566
4,21.99,-4.811
5,22.53,-6.061
6,22.96,-3.318
7,23.50,-6.495
8,22.78,-5.966